PBE-GGA CaNdHgPt, optimized geometry; crystal system = orthorhombic; DOS(E_F) = 0.53 states/eV per atom; calculated total energy = -4.045 eV/atom; total magnetization = 0.0 μB/cell; formation enthalpy at 0 K = -767 meV/atom
1.0
4.340 0.000 0.000
0.000 2.025 5.973
0.000 -2.025 5.973
Ca Nd Hg Pt
1 1 1 1
direct
0.000 0.000 0.000 Ca
0.500 0.291 0.291 Nd
0.500 0.572 0.572 Hg
0.000 0.746 0.746 Pt